Here is a relaxed structure of AcDy2Zn from Alexandria. Energies are from PBE-GGA.

```
4
Lattice="-3.276 -0.786 -1.634 -1.233 -3.534 -0.118 -6.381 -0.043 8.522" Properties=species:S:1:pos:R:3 pbc="T T T"
Zn -3.013 -2.879 -1.156
Dy -5.410 -0.321 6.710
Dy -2.478 -1.161 1.236
Ac -5.434 -2.185 3.364
```

Results
As for the calculated total energy: -3.664 eV/atom. The density of states at the Fermi level is 4.62 states/eV/cell. The value obtained for the volume is 126.6 Å³ per cell. For the formation energy, the calculation gives -17 meV/atom. The value obtained for the relative energy among the computed polymorphs is 106 meV per atom. The value obtained for the total magnetic moment is 0.000 μB per cell.